# 1
# CsBeRu3

A geometry-optimized CsBeRu3 structure (PBE-GGA, Alexandria via LeMat-Bulk).

Values from the calculation:
As for the space group: Pm-3m. For the formation enthalpy at 0 K, the calculation gives 1398 meV per atom. The value obtained for the polymorph energy (0 for the lowest one) is 0.00 eV per formula unit.

Cell lengths 4.440, 4.440, 4.440 Å; angles 90.00, 90.00, 90.00 degrees
Fractional positions:
Cs (0.000, 0.000, 0.000)
Be (0.500, 0.500, 0.500)
Ru (0.000, 0.500, 0.500)
Ru (0.500, 0.000, 0.500)
Ru (0.500, 0.500, 0.000)


# 2
# ErPaPdPb

A geometry-optimized ErPaPdPb structure (PBE-GGA, Alexandria via LeMat-Bulk).

Values from the calculation:
As for the space group: F-43m. For the formation enthalpy at 0 K, the calculation gives -190 meV per atom.

Cell lengths 5.209, 5.209, 5.209 Å; angles 60.00, 60.00, 60.00 degrees
Fractional positions:
Er (0.000, 0.000, 0.000)
Pa (0.500, 0.500, 0.500)
Pd (0.750, 0.750, 0.750)
Pb (0.250, 0.250, 0.250)


# 3
# Ba2InRe

A geometry-optimized Ba2InRe structure (PBE-GGA, Alexandria via LeMat-Bulk).

Values from the calculation:
As for the space group: Cmmm. For the formation enthalpy at 0 K, the calculation gives 821 meV per atom.

Cell lengths 5.900, 5.900, 3.794 Å; angles 90.00, 90.00, 90.20 degrees
Fractional positions:
Ba (0.000, 0.500, 0.000)
Ba (0.500, 0.000, 0.000)
In (0.000, 0.000, 0.500)
Re (0.500, 0.500, 0.500)


# 4
# Si2HCS

A geometry-optimized Si2HCS structure (PBE-GGA, Alexandria via LeMat-Bulk).

Values from the calculation:
For the energy, the calculation gives -4.11 eV per atom. As for the space group: P4/mmm.

Cell lengths 4.028, 4.028, 4.187 Å; angles 90.00, 90.00, 90.00 degrees
Fractional positions:
Si (0.000, 0.500, 0.000)
Si (0.500, 0.000, 0.000)
H (0.000, 0.000, 0.500)
C (0.500, 0.500, 0.000)
S (0.500, 0.500, 0.500)


# 5
# Na2BiPd3

A geometry-optimized Na2BiPd3 structure (PBE-GGA, Alexandria via LeMat-Bulk).

Values from the calculation:
As for the space group: P6_3/mmc. For the formation enthalpy at 0 K, the calculation gives -270 meV per atom. The value obtained for the polymorph energy (0 for the lowest one) is 0.22 eV per formula unit.

Cell lengths 5.681, 5.681, 8.830 Å; angles 90.00, 90.00, 120.00 degrees
Fractional positions:
Na (0.333, 0.667, 0.073)
Na (0.333, 0.667, 0.427)
Na (0.667, 0.333, 0.573)
Na (0.667, 0.333, 0.927)
Bi (0.000, 0.000, 0.000)
Bi (0.000, 0.000, 0.500)
Pd (0.173, 0.347, 0.750)
Pd (0.173, 0.827, 0.750)
Pd (0.347, 0.173, 0.250)
Pd (0.653, 0.827, 0.750)
Pd (0.827, 0.173, 0.250)
Pd (0.827, 0.653, 0.250)


# 6
# Pr3TmPb5

A geometry-optimized Pr3TmPb5 structure (PBE-GGA, Alexandria via LeMat-Bulk).

Values from the calculation:
As for the space group: P6_3/mcm. For the formation enthalpy at 0 K, the calculation gives -484 meV per atom.

Cell lengths 9.756, 9.756, 6.635 Å; angles 90.00, 90.00, 120.00 degrees
Fractional positions:
Pr (0.000, 0.383, 0.250)
Pr (0.000, 0.617, 0.750)
Pr (0.383, 0.000, 0.250)
Pr (0.383, 0.383, 0.750)
Pr (0.617, 0.000, 0.750)
Pr (0.617, 0.617, 0.250)
Tm (0.000, 0.000, 0.000)
Tm (0.000, 0.000, 0.500)
Pb (0.000, 0.279, 0.750)
Pb (0.000, 0.721, 0.250)
Pb (0.279, 0.000, 0.750)
Pb (0.279, 0.279, 0.250)
Pb (0.333, 0.667, 0.000)
Pb (0.333, 0.667, 0.500)
Pb (0.667, 0.333, 0.000)
Pb (0.667, 0.333, 0.500)
Pb (0.721, 0.000, 0.250)
Pb (0.721, 0.721, 0.750)


# 7
# LaSn3Pd2

A geometry-optimized LaSn3Pd2 structure (PBE-GGA, Alexandria via LeMat-Bulk).

Values from the calculation:
As for the space group: Cmcm. For the formation enthalpy at 0 K, the calculation gives -545 meV per atom.

Cell lengths 6.716, 6.716, 6.316 Å; angles 90.00, 90.00, 80.92 degrees
Fractional positions:
La (0.134, 0.866, 0.750)
La (0.866, 0.134, 0.250)
Sn (0.060, 0.618, 0.250)
Sn (0.382, 0.940, 0.250)
Sn (0.494, 0.506, 0.750)
Sn (0.506, 0.494, 0.250)
Sn (0.618, 0.060, 0.750)
Sn (0.940, 0.382, 0.750)
Pd (0.268, 0.268, 0.000)
Pd (0.268, 0.268, 0.500)
Pd (0.732, 0.732, 0.000)
Pd (0.732, 0.732, 0.500)


# 8
# Nd4Ho5Tm4

A geometry-optimized Nd4Ho5Tm4 structure (PBE-GGA, Alexandria via LeMat-Bulk).

Values from the calculation:
As for the space group: I4/m. For the formation enthalpy at 0 K, the calculation gives 23 meV per atom.

Cell lengths 9.428, 9.428, 9.428 Å; angles 94.08, 94.08, 149.07 degrees
Fractional positions:
Nd (0.079, 0.382, 0.460)
Nd (0.382, 0.921, 0.303)
Nd (0.618, 0.079, 0.697)
Nd (0.921, 0.618, 0.540)
Ho (0.000, 0.000, 0.000)
Ho (0.311, 0.540, 0.851)
Ho (0.460, 0.311, 0.771)
Ho (0.540, 0.689, 0.229)
Ho (0.689, 0.460, 0.149)
Tm (0.153, 0.771, 0.924)
Tm (0.229, 0.153, 0.383)
Tm (0.771, 0.847, 0.617)
Tm (0.847, 0.229, 0.076)


# 9
# La2Ga2Ir

A geometry-optimized La2Ga2Ir structure (PBE-GGA, Alexandria via LeMat-Bulk).

Values from the calculation:
As for the space group: C2/m. For the formation enthalpy at 0 K, the calculation gives -709 meV per atom. The value obtained for the polymorph energy (0 for the lowest one) is 0.00 eV per formula unit.

Cell lengths 6.049, 6.049, 11.039 Å; angles 112.12, 112.12, 41.02 degrees
Fractional positions:
La (0.000, 0.000, 0.162)
La (0.000, 0.000, 0.838)
La (0.191, 0.191, 0.622)
La (0.809, 0.809, 0.378)
Ga (0.322, 0.322, 0.947)
Ga (0.478, 0.478, 0.613)
Ga (0.522, 0.522, 0.387)
Ga (0.678, 0.678, 0.053)
Ir (0.294, 0.294, 0.177)
Ir (0.706, 0.706, 0.823)


# 10
# KDyBeF6

A geometry-optimized KDyBeF6 structure (PBE-GGA, Alexandria via LeMat-Bulk).

Values from the calculation:
The uncorrected formation energy comes out at -3.622 eV per atom. As for the space group: P2_1/m.

Cell lengths 6.425, 5.862, 7.142 Å; angles 90.00, 113.10, 90.00 degrees
Fractional positions:
K (0.072, 0.250, 0.203)
K (0.928, 0.750, 0.797)
Dy (0.390, 0.250, 0.822)
Dy (0.610, 0.750, 0.178)
Be (0.232, 0.750, 0.463)
Be (0.768, 0.250, 0.537)
F (0.009, 0.750, 0.266)
F (0.236, 0.535, 0.594)
F (0.236, 0.965, 0.594)
F (0.319, 0.502, 0.033)
F (0.319, 0.998, 0.033)
F (0.440, 0.750, 0.406)
F (0.560, 0.250, 0.594)
F (0.681, 0.002, 0.967)
F (0.681, 0.498, 0.967)
F (0.764, 0.035, 0.406)
F (0.764, 0.465, 0.406)
F (0.991, 0.250, 0.734)


# 11
# CoGeSb2

A geometry-optimized CoGeSb2 structure (PBE-GGA, Alexandria via LeMat-Bulk).

Values from the calculation:
The uncorrected formation energy comes out at 0.628 eV per atom. As for the space group: R-3m.

Cell lengths 10.360, 10.360, 10.360 Å; angles 17.63, 17.63, 17.63 degrees
Fractional positions:
Co (0.000, 0.000, 0.000)
Ge (0.500, 0.500, 0.500)
Sb (0.081, 0.081, 0.081)
Sb (0.919, 0.919, 0.919)


# 12
# CsHoBr4

A geometry-optimized CsHoBr4 structure (PBE-GGA, Alexandria via LeMat-Bulk).

Values from the calculation:
The uncorrected formation energy comes out at -1.866 eV per atom. As for the space group: C2/c. The value obtained for the polymorph energy (0 for the lowest one) is 0.00 eV per formula unit.

Cell lengths 9.812, 9.812, 7.109 Å; angles 107.10, 107.10, 112.89 degrees
Fractional positions:
Cs (0.158, 0.842, 0.750)
Cs (0.842, 0.158, 0.250)
Ho (0.424, 0.576, 0.250)
Ho (0.576, 0.424, 0.750)
Br (0.147, 0.531, 0.293)
Br (0.272, 0.368, 0.789)
Br (0.368, 0.272, 0.289)
Br (0.469, 0.853, 0.207)
Br (0.531, 0.147, 0.793)
Br (0.632, 0.728, 0.711)
Br (0.728, 0.632, 0.211)
Br (0.853, 0.469, 0.707)


Number 1: spin magnetization 2.99 μB per cell. Number 2: spin magnetization 2.08 μB per cell. Number 3: spin magnetization 2.44 μB per cell. Number 4: spin magnetization 0.00 μB per cell. Number 5: spin magnetization 0.00 μB per cell. Number 6: spin magnetization 0.00 μB per cell. Number 7: spin magnetization 0.00 μB per cell. Number 8: spin magnetization 0.00 μB per cell. Number 9: spin magnetization 0.00 μB per cell. Number 10: spin magnetization 0.00 μB per cell. Number 11: spin magnetization 1.17 μB per cell. Number 12: spin magnetization 0.00 μB per cell.